# 1
PBE-GGA La5ReCl5, optimized geometry; VASP energy = -5.6252 eV per atom; formation energy (no corrections) = -15.56 eV per formula unit; M_tot = 0.00 μB per formula unit
1.0
6.491 -2.984 0.000
6.491 2.984 0.000
-2.922 0.000 8.194
La Re Cl
5 1 5
Cartesian
0.000 0.000 0.000 La
3.873 0.000 1.170 La
2.490 0.000 5.714 La
7.571 0.000 2.480 La
6.187 0.000 7.024 La
6.491 0.000 0.000 Re
-0.361 0.000 6.541 Cl
1.116 0.000 2.897 Cl
5.030 0.000 4.097 Cl
8.945 0.000 5.297 Cl
10.421 0.000 1.654 Cl

=====

# 2
PBE-GGA TeMoSN2, optimized geometry; VASP energy = -6.3850 eV per atom; formation energy (no corrections) = 2.83 eV per formula unit; M_tot = 0.00 μB per formula unit
1.0
3.883 0.000 0.000
0.000 3.883 0.000
0.000 0.000 5.881
Te Mo S N
1 1 1 2
Cartesian
0.000 0.000 0.000 Te
0.000 0.000 2.941 Mo
1.942 1.942 0.000 S
0.000 1.942 2.941 N
1.942 0.000 2.941 N

=====

# 3
PBE-GGA TaTlAu, optimized geometry; VASP energy = -5.1700 eV per atom; formation energy from the elements = 0.662 eV/atom; M_tot = 0.49 μB per formula unit
1.0
0.000 3.225 3.225
3.225 0.000 3.225
3.225 3.225 0.000
Ta Tl Au
1 1 1
Cartesian
0.000 0.000 0.000 Ta
3.225 3.225 3.225 Tl
1.612 1.612 1.612 Au

=====

# 4
PBE-GGA CrTeN3, optimized geometry; VASP energy = -5.9359 eV per atom; formation energy (no corrections) = 8.06 eV per formula unit; M_tot = 2.76 μB per formula unit
1.0
3.947 0.000 0.000
0.000 3.947 0.000
0.000 0.000 3.947
Cr Te N
1 1 3
Cartesian
0.000 0.000 0.000 Cr
1.973 1.973 1.973 Te
0.000 1.973 1.973 N
1.973 0.000 1.973 N
1.973 1.973 0.000 N

=====

# 5
PBE-GGA TmCd5, optimized geometry; VASP energy = -1.6673 eV per atom; formation energy from the elements = -0.159 eV/atom; M_tot = 0.00 μB per formula unit
1.0
2.288 -6.514 0.000
2.288 6.514 0.000
0.000 0.000 4.632
Tm Cd
1 5
Cartesian
0.000 0.000 0.000 Tm
2.288 4.357 2.316 Cd
2.288 2.257 0.000 Cd
2.288 0.000 2.316 Cd
2.288 -2.257 0.000 Cd
2.288 -4.357 2.316 Cd

=====

# 6
PBE-GGA ZrCoOs2, optimized geometry; VASP energy = -9.2469 eV per atom; formation energy from the elements = 0.282 eV/atom; M_tot = 1.68 μB per formula unit
1.0
1.379 0.796 9.198
-1.379 0.796 9.198
0.000 -1.592 9.198
Zr Co Os
1 1 2
Cartesian
0.000 0.000 0.000 Zr
0.000 0.000 13.797 Co
0.000 0.000 6.628 Os
0.000 0.000 20.966 Os